Entry 1:
The following is a GGA-PBE calculation of a relaxed CaY2Br crystal, from Alexandria via LeMat-Bulk.

Geometry as POSCAR:
```
CaY2Br
1.0
-4.529 4.529 3.194
4.529 -4.529 3.194
4.529 4.529 -3.194
Ca Y Br
2 4 2
direct
0.000 0.000 0.000
0.750 0.250 0.500
0.200 0.625 0.075
0.375 0.450 0.575
0.550 0.125 0.925
0.875 0.800 0.425
0.250 0.750 0.500
0.500 0.500 0.000
```

Results
Symmetry = I-42d
Raw total energy = -4.39 eV per atom
E_form (uncorrected) = -91 kJ/mol of formula units

=====

Entry 2:
The following is a GGA-PBE calculation of a relaxed Sr4MoN4 crystal, from Alexandria via LeMat-Bulk.

Geometry as POSCAR:
```
Sr4MoN4
1.0
6.856 0.000 0.000
0.000 6.856 0.000
0.000 0.000 8.777
Sr Mo N
8 2 8
direct
0.006 0.250 0.071
0.250 0.006 0.571
0.250 0.494 0.571
0.494 0.250 0.071
0.506 0.750 0.929
0.750 0.506 0.429
0.750 0.994 0.429
0.994 0.750 0.929
0.250 0.750 0.250
0.750 0.250 0.750
0.035 0.750 0.387
0.250 0.535 0.113
0.250 0.965 0.113
0.465 0.750 0.387
0.535 0.250 0.613
0.750 0.035 0.887
0.750 0.465 0.887
0.965 0.250 0.613
```

Results
Symmetry = P4_2/nmc
Raw total energy = -6.33 eV per atom
E_form (uncorrected) = -588 kJ/mol of formula units

=====

Entry 3:
The following is a GGA-PBE calculation of a relaxed Dy4Cu2O crystal, from Alexandria via LeMat-Bulk.

Geometry as POSCAR:
```
Dy4Cu2O
1.0
-2.336 2.336 6.898
2.336 -2.336 6.898
2.336 2.336 -6.898
Dy Cu O
4 2 1
direct
0.000 0.500 0.500
0.186 0.186 0.000
0.500 0.000 0.500
0.814 0.814 0.000
0.380 0.380 0.000
0.620 0.620 0.000
0.000 0.000 0.000
```

Results
Symmetry = I4/mmm
Raw total energy = -5.41 eV per atom
E_form (uncorrected) = -608 kJ/mol of formula units

=====

Entry 4:
The following is a GGA-PBE calculation of a relaxed Ca3SnP crystal, from Alexandria via LeMat-Bulk.

Geometry as POSCAR:
```
Ca3SnP
1.0
5.422 0.000 0.000
0.000 5.422 0.000
0.000 0.000 5.422
Ca Sn P
3 1 1
direct
0.000 0.000 0.500
0.000 0.500 0.000
0.500 0.000 0.000
0.500 0.500 0.500
0.000 0.000 0.000
```

Results
Symmetry = Pm-3m
Raw total energy = -3.84 eV per atom
E_form = -753.2 meV/atom

=====

Entry 5:
The following is a GGA-PBE calculation of a relaxed Cs2ScTeBr6 crystal, from Alexandria via LeMat-Bulk.

Geometry as POSCAR:
```
Cs2ScTeBr6
1.0
-4.387 4.387 5.471
4.387 -4.387 5.471
4.387 4.387 -5.471
Cs Sc Te Br
2 1 1 6
direct
0.250 0.750 0.500
0.750 0.250 0.500
0.000 0.000 0.000
0.500 0.500 0.000
0.212 0.212 0.424
0.212 0.788 0.000
0.251 0.251 0.000
0.749 0.749 0.000
0.788 0.212 0.000
0.788 0.788 0.576
```

Results
Symmetry = I4/mmm
Raw total energy = -3.42 eV per atom
E_form (uncorrected) = -1252 kJ/mol of formula units

=====

Entry 6:
The following is a GGA-PBE calculation of a relaxed RbIn3Ag crystal, from Alexandria via LeMat-Bulk.

Geometry as POSCAR:
```
RbIn3Ag
1.0
0.000 3.470 6.303
3.450 0.000 6.303
3.450 3.470 0.000
Rb In Ag
1 3 1
direct
0.000 0.000 0.000
0.242 0.242 0.258
0.390 0.390 0.610
0.742 0.742 0.758
0.617 0.617 0.383
```

Results
Symmetry = Fmm2
Raw total energy = -2.48 eV per atom
E_form = -68.5 meV/atom